The following is a DFT calculation (GGA-PBE) of crystalline Li2YRh2 at its relaxed geometry.

Cell: 7.0863 7.0863 7.0863 Å, 150.75 150.75 41.84°
Last column: nearest neighbours and their distance in Å.
Sites, in units of the cell vectors:
1 Li 0.2500 0.7500 0.5000  4 Li 2.53, 4 Rh 2.59
2 Li 0.7500 0.2500 0.5000  4 Li 2.53, 4 Rh 2.59
3 Y 0.0000 0.0000 0.0000  8 Rh 2.91
4 Rh 0.3915 0.3915 0.0000  4 Li 2.59, 1 Rh 2.87
5 Rh 0.6085 0.6085 0.0000  4 Li 2.59, 1 Rh 2.87

Summary:
Offset from the most stable computed form   0.012 eV/atom


The following is a DFT calculation (GGA-PBE) of crystalline Li2YRh at its relaxed geometry.

Cell: 10.8020 10.8020 10.8020 Å, 159.19 159.19 29.59°
Last column: nearest neighbours and their distance in Å.
Sites, in units of the cell vectors:
1 Li 0.0694 0.1250 0.4444  2 Li 2.47
2 Li 0.3750 0.9306 0.0556  2 Li 2.47
3 Li 0.6806 0.6250 0.5556  2 Li 2.47
4 Li 0.8750 0.3194 0.9444  2 Li 2.47
5 Y 0.2500 0.7500 0.5000  4 Rh 2.76, 4 Li 3.03
6 Y 0.5000 0.5000 0.0000  4 Rh 2.76, 4 Li 3.03
7 Rh 0.0000 0.0000 0.0000  4 Y 2.76, 4 Li 2.89
8 Rh 0.7500 0.2500 0.5000  4 Y 2.76, 4 Li 2.89

Summary:
Offset from the most stable computed form   0.144 eV/atom


The following is a DFT calculation (GGA-PBE) of crystalline LiY3Rh2 at its relaxed geometry.

Cell: 4.9029 4.9029 12.1649 Å, 90.00 90.00 120.00°
Last column: nearest neighbours and their distance in Å.
Sites, in units of the cell vectors:
1 Li 0.3333 0.6667 0.1701  8 Y 3.02-3.08
2 Li 0.6667 0.3333 0.8299  8 Y 3.02-3.08
3 Y 0.0000 0.0000 0.2583  5 Rh 2.94-3.14, 3 Li 3.03
4 Y 0.0000 0.0000 0.7417  5 Rh 2.94-3.14, 3 Li 3.03
5 Y 0.3333 0.6667 0.4231  7 Rh 2.98-3.05, 1 Li 3.08
6 Y 0.3333 0.6667 0.9170  4 Rh 2.99-3.01, 4 Li 3.02-3.08
7 Y 0.6667 0.3333 0.0830  4 Rh 2.99-3.01, 4 Li 3.02-3.08
8 Y 0.6667 0.3333 0.5769  7 Rh 2.98-3.05, 1 Li 3.08
9 Rh 0.0000 0.0000 0.0000  8 Y 3.01-3.14
10 Rh 0.0000 0.0000 0.5000  8 Y 2.94-2.98
11 Rh 0.3333 0.6667 0.6711  8 Y 2.96-3.05
12 Rh 0.6667 0.3333 0.3289  8 Y 2.96-3.05


The following is a DFT calculation (GGA-PBE) of crystalline Li2YRh at its relaxed geometry.

Cell: 3.8976 3.9295 4.9675 Å, 90.00 90.00 90.00°
Last column: nearest neighbours and their distance in Å.
Sites, in units of the cell vectors:
1 Li 0.0000 0.0000 0.0000  4 Li 2.77
2 Li 0.5000 0.5000 0.0000  4 Li 2.77
3 Y 0.0000 0.5000 0.5000  4 Rh 2.77
4 Rh 0.5000 0.0000 0.5000  4 Y 2.77

Summary:
Offset from the most stable computed form   0.051 eV/atom


The following is a DFT calculation (GGA-PBE) of crystalline Li2YRh at its relaxed geometry.

Cell: 5.4496 5.4496 5.4496 Å, 137.93 137.40 61.41°
Last column: nearest neighbours and their distance in Å.
Sites, in units of the cell vectors:
1 Li 0.2485 0.2485 0.0000  4 Li 2.78, 4 Rh 3.04-3.08, 4 Y 3.06
2 Li 0.7515 0.7515 0.0000  4 Li 2.78, 4 Rh 3.04-3.08, 4 Y 3.06
3 Y 0.5000 0.0000 0.5000  4 Rh 2.78, 8 Li 3.06
4 Rh 0.0000 0.5000 0.5000  4 Y 2.78, 8 Li 3.04-3.08

Summary:
Offset from the most stable computed form   0.000 eV/atom


The following is a DFT calculation (GGA-PBE) of crystalline Li2YRh at its relaxed geometry.

Cell: 4.5607 4.5607 4.5607 Å, 60.00 60.00 60.00°
Last column: nearest neighbours and their distance in Å.
Sites, in units of the cell vectors:
1 Li 0.2500 0.2500 0.2500  4 Rh 2.79, 4 Y 2.79
2 Li 0.7500 0.7500 0.7500  4 Rh 2.79, 4 Y 2.79
3 Y 0.0000 0.0000 0.0000  8 Li 2.79
4 Rh 0.5000 0.5000 0.5000  8 Li 2.79

Summary:
Offset from the most stable computed form   0.175 eV/atom


The following is a DFT calculation (GGA-PBE) of crystalline Li3YRh at its relaxed geometry.

Cell: 4.6088 4.6088 4.6088 Å, 90.00 90.00 90.00°
Last column: nearest neighbours and their distance in Å.
Sites, in units of the cell vectors:
1 Li 0.0000 0.0000 0.5000  2 Rh 2.30
2 Li 0.0000 0.5000 0.0000  2 Rh 2.30
3 Li 0.5000 0.0000 0.0000  2 Rh 2.30
4 Y 0.5000 0.5000 0.5000  12 Li 3.26
5 Rh 0.0000 0.0000 0.0000  6 Li 2.30

Summary:
Offset from the most stable computed form   0.000 eV/atom


The following is a DFT calculation (GGA-PBE) of crystalline LiYRh3 at its relaxed geometry.

Cell: 4.9584 4.9584 4.9584 Å, 90.00 90.00 90.00°
Last column: nearest neighbours and their distance in Å.
Sites, in units of the cell vectors:
1 Li 0.0000 0.0000 0.0000  12 Rh 3.51
2 Y 0.5000 0.5000 0.5000  6 Rh 2.48
3 Rh 0.0000 0.5000 0.5000  2 Y 2.48
4 Rh 0.5000 0.0000 0.5000  2 Y 2.48
5 Rh 0.5000 0.5000 0.0000  2 Y 2.48

Summary:
Offset from the most stable computed form   1.072 eV/atom


The following is a DFT calculation (GGA-PBE) of crystalline LiY2Rh2 at its relaxed geometry.

Cell: 5.4715 5.4715 5.4715 Å, 136.21 113.88 82.71°
Last column: nearest neighbours and their distance in Å.
Sites, in units of the cell vectors:
1 Li 0.0000 0.0000 0.0000  4 Rh 2.59
2 Y 0.2953 0.7953 0.5000  6 Rh 2.91-2.98, 2 Li 3.17
3 Y 0.7047 0.2047 0.5000  6 Rh 2.91-2.98, 2 Li 3.17
4 Rh 0.2686 0.5000 0.7686  2 Li 2.59, 1 Rh 2.76
5 Rh 0.7314 0.5000 0.2314  2 Li 2.59, 1 Rh 2.76

Summary:
Offset from the most stable computed form   0.000 eV/atom


The following is a DFT calculation (GGA-PBE) of crystalline Li2YRh at its relaxed geometry.

Cell: 9.7756 9.7756 9.7756 Å, 17.89 17.89 17.89°
Last column: nearest neighbours and their distance in Å.
Sites, in units of the cell vectors:
1 Li 0.2334 0.2334 0.2334  3 Rh 2.60
2 Li 0.7666 0.7666 0.7666  3 Rh 2.60
3 Y 0.0000 0.0000 0.0000  6 Y 3.04, 6 Li 3.38
4 Rh 0.5000 0.5000 0.5000  6 Li 2.60

Summary:
Offset from the most stable computed form   0.551 eV/atom


The following is a DFT calculation (GGA-PBE) of crystalline LiY6Rh5 at its relaxed geometry.

Cell: 8.4829 8.4829 8.4829 Å, 146.71 131.56 60.05°
Last column: nearest neighbours and their distance in Å.
Sites, in units of the cell vectors:
1 Li 0.0000 0.0000 0.0000  8 Y 3.02-3.06
2 Y 0.0841 0.8301 0.2540  7 Rh 2.97-3.03, 1 Li 3.06
3 Y 0.2586 0.5000 0.7586  6 Rh 2.95-2.99, 2 Li 3.02
4 Y 0.4239 0.1699 0.2540  7 Rh 2.97-3.03, 1 Li 3.06
5 Y 0.5761 0.8301 0.7460  7 Rh 2.97-3.03, 1 Li 3.06
6 Y 0.7414 0.5000 0.2414  6 Rh 2.95-2.99, 2 Li 3.02
7 Y 0.9159 0.1699 0.7460  7 Rh 2.97-3.03, 1 Li 3.06
8 Rh 0.1629 0.6629 0.5000  8 Y 2.99-3.01
9 Rh 0.3326 0.3326 0.0000  8 Y 2.97-2.98
10 Rh 0.5000 0.0000 0.5000  8 Y 2.95-3.03
11 Rh 0.6674 0.6674 0.0000  8 Y 2.97-2.98
12 Rh 0.8371 0.3371 0.5000  8 Y 2.99-3.01


The following is a DFT calculation (GGA-PBE) of crystalline LiY2Rh2 at its relaxed geometry.

Cell: 7.6793 7.6793 3.5692 Å, 90.00 90.00 90.00°
Last column: nearest neighbours and their distance in Å.
Sites, in units of the cell vectors:
1 Li 0.0000 0.0000 0.0000  4 Rh 2.98
2 Li 0.5000 0.5000 0.0000  4 Rh 2.98
3 Y 0.1611 0.3389 0.5000  6 Rh 2.82-2.91
4 Y 0.3389 0.8389 0.5000  6 Rh 2.82-2.91
5 Y 0.6611 0.1611 0.5000  6 Rh 2.82-2.91
6 Y 0.8389 0.6611 0.5000  6 Rh 2.82-2.91
7 Rh 0.1378 0.6378 0.0000  6 Y 2.82-2.91, 2 Li 2.98, 1 Rh 2.99
8 Rh 0.3622 0.1378 0.0000  6 Y 2.82-2.91, 2 Li 2.98, 1 Rh 2.99
9 Rh 0.6378 0.8622 0.0000  6 Y 2.82-2.91, 2 Li 2.98, 1 Rh 2.99
10 Rh 0.8622 0.3622 0.0000  6 Y 2.82-2.91, 2 Li 2.98, 1 Rh 2.99

Summary:
Offset from the most stable computed form   0.063 eV/atom


no.,DFT formation energy (kJ per mole of atoms)
1,-25.4
2,-18.0
3,-58.9
4,-26.9
5,-31.9
6,-15.0
7,14.3
8,94.6
9,-63.2
10,21.4
11,-70.2
12,-57.1